No. 1
Ca2Ag3Sn | PBE | optimized geometry

## Properties
* crystal system: orthorhombic
* ΔH_f (0 K): -0.354 eV/atom
* polymorph energy (0 for the lowest one): 0.0 meV per atom
* DOS(E_F): 11.5 states/eV/cell

The structure in CIF format:
```
data_Ca2Ag3Sn
_chemical_formula_sum 'Ca16 Ag24 Sn8'
_cell_length_a 7.238
_cell_length_b 9.610
_cell_length_c 16.917
_cell_angle_alpha 90.00
_cell_angle_beta 90.00
_cell_angle_gamma 90.00
_symmetry_space_group_name_H-M 'F m m m'
_symmetry_Int_Tables_number 69
_symmetry_space_group_name_Hall '-F 2 2'
loop_
_atom_site_label
_atom_site_type_symbol
_atom_site_fract_x
_atom_site_fract_y
_atom_site_fract_z
Ca1 Ca 0.243 0.000 0.000
Ca2 Ca 0.250 0.250 0.250
Ag1 Ag 0.000 0.000 0.167
Ag2 Ag 0.000 0.249 0.082
Sn1 Sn 0.000 0.000 0.335
```



No. 2
CaAgSn | PBE | optimized geometry

## Properties
* crystal system: cubic
* ΔH_f (0 K): -0.387 eV/atom
* DOS(E_F): 12.1 states/eV/cell

The structure in CIF format:
```
data_CaAgSn
_chemical_formula_sum 'Ca4 Ag4 Sn4'
_cell_length_a 6.875
_cell_length_b 6.875
_cell_length_c 6.875
_cell_angle_alpha 90.00
_cell_angle_beta 90.00
_cell_angle_gamma 90.00
_symmetry_space_group_name_H-M 'F -4 3 m'
_symmetry_Int_Tables_number 216
_symmetry_space_group_name_Hall 'F -4 2 3'
loop_
_atom_site_label
_atom_site_type_symbol
_atom_site_fract_x
_atom_site_fract_y
_atom_site_fract_z
Ca1 Ca 0.000 0.000 0.000
Ag1 Ag 0.250 0.250 0.250
Sn1 Sn 0.000 0.000 0.500
```



No. 3
CaAg4Sn2 | PBE | optimized geometry

## Properties
* crystal system: tetragonal
* ΔH_f (0 K): -0.054 eV/atom
* polymorph energy (0 for the lowest one): 118.1 meV per atom
* DOS(E_F): 5.1 states/eV/cell

The structure in CIF format:
```
data_CaAg4Sn2
_chemical_formula_sum 'Ca2 Ag8 Sn4'
_cell_length_a 4.098
_cell_length_b 4.098
_cell_length_c 19.715
_cell_angle_alpha 90.00
_cell_angle_beta 90.00
_cell_angle_gamma 90.00
_symmetry_space_group_name_H-M 'I 4/m m m'
_symmetry_Int_Tables_number 139
_symmetry_space_group_name_Hall '-I 4 2'
loop_
_atom_site_label
_atom_site_type_symbol
_atom_site_fract_x
_atom_site_fract_y
_atom_site_fract_z
Ca1 Ca 0.000 0.000 0.000
Ag1 Ag 0.000 0.000 0.148
Ag2 Ag 0.000 0.500 0.250
Sn1 Sn 0.000 0.000 0.382
```



| no. | total magnetization (μB/f.u.) |
| --- | --- |
| 1 | 0.00 |
| 2 | 0.00 |
| 3 | 0.00 |